Record 1
Computed, not measured: a geometry-optimized AcEuTeAs structure at the PBE level of DFT.

Computed properties:
ρ in g cm⁻³: 8.0
E_form (uncorrected) in meV per atom: -1247.7

Unit cell a=5.5559 b=5.5559 c=5.5559 alpha=60.00 beta=60.00 gamma=60.00
Element x y z (fractional)
Eu 0.5000 0.5000 0.5000
Ac 0.0000 0.0000 0.0000
Te 0.2500 0.2500 0.2500
As 0.7500 0.7500 0.7500

---

Record 2
Computed, not measured: a geometry-optimized RbCrFe2H structure at the PBE level of DFT.

Computed properties:
ρ in g cm⁻³: 6.1
Uncorrected energy in eV/atom: -3.373

Unit cell a=4.6433 b=3.1790 c=4.6433 alpha=90.00 beta=90.00 gamma=90.00
Element x y z (fractional)
Cr 0.5000 0.5000 0.5000
Fe 0.0000 0.0000 0.5000
Fe 0.5000 0.0000 0.0000
Rb 0.0000 0.0000 0.0000
H 0.0000 0.5000 0.0000

---

Record 3
Computed, not measured: a geometry-optimized BaSi structure at the PBE level of DFT.

Computed properties:
ρ in g cm⁻³: 3.9
E_form (uncorrected) in meV per atom: -155.5

Unit cell a=4.0300 b=4.0300 c=10.0511 alpha=90.00 beta=90.00 gamma=120.00
Element x y z (fractional)
Ba 0.0000 0.0000 0.9139
Ba 0.6667 0.3333 0.3361
Si 0.0000 0.0000 0.5800
Si 0.6667 0.3333 0.6700

---

Record 4
Computed, not measured: a geometry-optimized Tb3DyF structure at the PBE level of DFT.

Computed properties:
ρ in g cm⁻³: 8.5
E_form (uncorrected) in meV per atom: -936.3

Unit cell a=5.0460 b=5.0460 c=5.0460 alpha=90.00 beta=90.00 gamma=90.00
Element x y z (fractional)
F 0.0000 0.0000 0.0000
Tb 0.0000 0.5000 0.0000
Tb 0.0000 0.0000 0.5000
Tb 0.5000 0.0000 0.0000
Dy 0.5000 0.5000 0.5000

---

Record 5
Computed, not measured: a geometry-optimized Ni7Ge2As2Ir structure at the PBE level of DFT.

Computed properties:
ρ in g cm⁻³: 8.6
Uncorrected energy in eV/atom: -5.701

Unit cell a=3.5385 b=3.5385 c=14.2931 alpha=80.40 beta=80.40 gamma=90.29
Element x y z (fractional)
Ni 0.5000 0.5000 0.0000
Ni 0.2170 0.2170 0.4190
Ni 0.7830 0.7830 0.5810
Ni 0.9091 0.4096 0.1340
Ni 0.4096 0.9091 0.1340
Ni 0.5904 0.0909 0.8660
Ni 0.0909 0.5904 0.8660
Ge 0.6705 0.6705 0.7500
Ge 0.3295 0.3295 0.2500
As 0.7202 0.7202 0.4199
As 0.2798 0.2798 0.5801
Ir 0.0000 0.0000 0.0000

---

Record 6
Computed, not measured: a geometry-optimized PrErMoN3 structure at the PBE level of DFT.

Computed properties:
ρ in g cm⁻³: 9.1
E_form (uncorrected) in meV per atom: -1177.5

Unit cell a=3.3695 b=5.8679 c=8.5059 alpha=103.40 beta=90.00 gamma=90.00
Element x y z (fractional)
Pr 0.7500 0.6400 0.6899
Pr 0.2500 0.3600 0.3101
Er 0.2500 0.7666 0.0529
Er 0.7500 0.2334 0.9471
Mo 0.2500 0.1091 0.6215
Mo 0.7500 0.8909 0.3785
N 0.2500 0.7564 0.4836
N 0.7500 0.0432 0.1733
N 0.7500 0.5731 0.1711
N 0.7500 0.2436 0.5164
N 0.2500 0.4269 0.8289
N 0.2500 0.9568 0.8267

---

Record 7
Computed, not measured: a geometry-optimized Tl2NiTe structure at the PBE level of DFT.

Computed properties:
Excess energy over the best structure of this formula in the dataset in meV/atom: 112
ρ in g cm⁻³: 9.5
E_form (uncorrected) in meV per atom: 28.4

Unit cell a=3.6748 b=4.4456 c=6.7302 alpha=70.60 beta=90.00 gamma=90.00
Element x y z (fractional)
Ni 0.0000 0.7151 0.4458
Te 0.5000 0.5776 0.7211
Tl 0.0000 0.9360 0.0003
Tl 0.5000 0.2713 0.3328

---

Record 8
Computed, not measured: a geometry-optimized Re5N structure at the PBE level of DFT.

Computed properties:
ρ in g cm⁻³: 18.6
E_form (uncorrected) in meV per atom: 809.9

Unit cell a=4.2796 b=4.2602 c=5.0841 alpha=114.77 beta=90.00 gamma=90.00
Element x y z (fractional)
Re 0.5000 0.8436 0.6872
Re 0.0000 0.6570 0.3140
Re 0.5000 0.5000 0.0000
Re 0.0000 0.3430 0.6860
Re 0.5000 0.1564 0.3128
N 0.0000 0.0000 0.0000

---

What is the formula in the sixth record?
PrErMoN3